VASP calculation (GGA-PBE) on Li2CdRu after structural relaxation.

Cell lengths 9.480, 2.637, 5.074 Å; angles 90.00, 96.59, 90.00 degrees
Positions (direct):
Li: 0.000 0.000 0.000
Li: 0.243 0.000 0.740
Li: 0.500 0.500 0.000
Li: 0.743 0.500 0.740
Cd: 0.249 0.500 0.257
Cd: 0.749 0.000 0.257
Ru: 0.497 0.000 0.508
Ru: 0.997 0.500 0.508

Total moment in μB/f.u.: 0.000
Calculated volume in Å³ per cell: 126
Energy of formation from the pure elements in eV per atom: 0.13



VASP calculation (GGA-PBE) on Li2Cd2Ru after structural relaxation.

Cell lengths 7.631, 7.631, 2.805 Å; angles 90.00, 90.00, 90.00 degrees
Positions (direct):
Li: 0.162 0.338 0.000
Li: 0.338 0.838 0.000
Li: 0.662 0.162 0.000
Li: 0.838 0.662 0.000
Cd: 0.140 0.640 0.500
Cd: 0.360 0.140 0.500
Cd: 0.640 0.860 0.500
Cd: 0.860 0.360 0.500
Ru: 0.000 0.000 0.500
Ru: 0.500 0.500 0.500

Total moment in μB/f.u.: 0.000
Distance to the lowest polymorph of the same formula in meV per atom: 46
Calculated volume in Å³ per cell: 163
Energy of formation from the pure elements in eV per atom: 0.21



VASP calculation (GGA-PBE) on Li2CdRu after structural relaxation.

Cell lengths 3.920, 3.920, 7.976 Å; angles 90.00, 90.00, 90.00 degrees
Positions (direct):
Li: 0.000 0.000 0.000
Li: 0.000 0.500 0.250
Li: 0.500 0.000 0.750
Li: 0.500 0.500 0.500
Cd: 0.000 0.000 0.500
Cd: 0.500 0.500 0.000
Ru: 0.000 0.500 0.750
Ru: 0.500 0.000 0.250

Total moment in μB/f.u.: 0.000
Calculated volume in Å³ per cell: 123
Energy of formation from the pure elements in eV per atom: 0.18



VASP calculation (GGA-PBE) on LiCd2Ru after structural relaxation.

Cell lengths 2.883, 2.883, 29.594 Å; angles 90.00, 90.00, 120.00 degrees
Positions (direct):
Li: 0.000 0.000 0.000
Li: 0.333 0.667 0.667
Li: 0.667 0.333 0.333
Cd: 0.000 0.000 0.516
Cd: 0.000 0.000 0.752
Cd: 0.333 0.667 0.183
Cd: 0.333 0.667 0.419
Cd: 0.667 0.333 0.085
Cd: 0.667 0.333 0.849
Ru: 0.000 0.000 0.262
Ru: 0.333 0.667 0.929
Ru: 0.667 0.333 0.595

Total moment in μB/f.u.: 0.824
Calculated volume in Å³ per cell: 213
Energy of formation from the pure elements in eV per atom: 0.18